# FeRuRh6 (PBE, relaxed)
data_FeRuRh6
_chemical_formula_sum 'Fe1 Ru1 Rh6'
_space_group_name_H-M_alt 'P 1'
_space_group_IT_number 1
_cell_length_a 5.403
_cell_length_b 5.403
_cell_length_c 3.821
_cell_angle_alpha 90.00
_cell_angle_beta 90.00
_cell_angle_gamma 90.00
loop_
_space_group_symop_operation_xyz
'x,y,z'
loop_
_atom_site_label
_atom_site_fract_x
_atom_site_fract_y
_atom_site_fract_z
_atom_site_occupancy
Fe1 0.000 0.000 0.000 1
Ru1 0.500 0.500 0.000 1
Rh1 0.000 0.500 0.000 1
Rh2 0.250 0.250 0.500 1
Rh3 0.250 0.750 0.500 1
Rh4 0.500 0.000 0.000 1
Rh5 0.750 0.250 0.500 1
Rh6 0.750 0.750 0.500 1
# Distance to the lowest polymorph of the same formula   0 meV/atom
# D(E_F)   7.9 states/eV per cell
# Formation enthalpy at 0 K   -0.014 eV/atom

=====

# Fe3RuRh12 (PBE, relaxed)
data_Fe3RuRh12
_chemical_formula_sum 'Fe3 Ru1 Rh12'
_space_group_name_H-M_alt 'P 1'
_space_group_IT_number 1
_cell_length_a 3.818
_cell_length_b 3.818
_cell_length_c 15.240
_cell_angle_alpha 90.00
_cell_angle_beta 90.00
_cell_angle_gamma 90.00
loop_
_space_group_symop_operation_xyz
'x,y,z'
loop_
_atom_site_label
_atom_site_fract_x
_atom_site_fract_y
_atom_site_fract_z
_atom_site_occupancy
Fe1 0.000 0.000 0.000 1
Fe2 0.000 0.000 0.247 1
Fe3 0.000 0.000 0.753 1
Ru1 0.000 0.000 0.500 1
Rh1 0.000 0.500 0.125 1
Rh2 0.000 0.500 0.375 1
Rh3 0.000 0.500 0.625 1
Rh4 0.000 0.500 0.875 1
Rh5 0.500 0.000 0.125 1
Rh6 0.500 0.000 0.375 1
Rh7 0.500 0.000 0.625 1
Rh8 0.500 0.000 0.875 1
Rh9 0.500 0.500 0.000 1
Rh10 0.500 0.500 0.250 1
Rh11 0.500 0.500 0.500 1
Rh12 0.500 0.500 0.750 1
# D(E_F)   19.1 states/eV per cell
# Formation enthalpy at 0 K   -0.030 eV/atom

=====

# Fe2RuRh9 (PBE, relaxed)
data_Fe2RuRh9
_chemical_formula_sum 'Fe2 Ru1 Rh9'
_space_group_name_H-M_alt 'P 1'
_space_group_IT_number 1
_cell_length_a 3.817
_cell_length_b 3.817
_cell_length_c 11.453
_cell_angle_alpha 90.00
_cell_angle_beta 90.00
_cell_angle_gamma 90.00
loop_
_space_group_symop_operation_xyz
'x,y,z'
loop_
_atom_site_label
_atom_site_fract_x
_atom_site_fract_y
_atom_site_fract_z
_atom_site_occupancy
Fe1 0.000 0.000 0.164 1
Fe2 0.000 0.000 0.836 1
Ru1 0.000 0.000 0.500 1
Rh1 0.000 0.500 0.000 1
Rh2 0.000 0.500 0.333 1
Rh3 0.000 0.500 0.667 1
Rh4 0.500 0.000 0.000 1
Rh5 0.500 0.000 0.333 1
Rh6 0.500 0.000 0.667 1
Rh7 0.500 0.500 0.167 1
Rh8 0.500 0.500 0.500 1
Rh9 0.500 0.500 0.833 1
# D(E_F)   13.6 states/eV per cell
# Formation enthalpy at 0 K   -0.024 eV/atom

=====

# FeRu2Rh4 (PBE, relaxed)
data_FeRu2Rh4
_chemical_formula_sum 'Fe2 Ru4 Rh8'
_space_group_name_H-M_alt 'P 1'
_space_group_IT_number 1
_cell_length_a 6.417
_cell_length_b 6.417
_cell_length_c 11.867
_cell_angle_alpha 90.00
_cell_angle_beta 90.00
_cell_angle_gamma 155.74
loop_
_space_group_symop_operation_xyz
'x,y,z'
loop_
_atom_site_label
_atom_site_fract_x
_atom_site_fract_y
_atom_site_fract_z
_atom_site_occupancy
Fe1 0.199 0.801 0.750 1
Fe2 0.801 0.199 0.250 1
Ru1 0.365 0.635 0.643 1
Ru2 0.365 0.635 0.857 1
Ru3 0.635 0.365 0.143 1
Ru4 0.635 0.365 0.357 1
Rh1 0.000 0.000 0.000 1
Rh2 0.000 0.000 0.500 1
Rh3 0.314 0.686 0.074 1
Rh4 0.314 0.686 0.426 1
Rh5 0.463 0.537 0.250 1
Rh6 0.537 0.463 0.750 1
Rh7 0.686 0.314 0.574 1
Rh8 0.686 0.314 0.926 1
# Distance to the lowest polymorph of the same formula   0 meV/atom
# D(E_F)   18.8 states/eV per cell
# Formation enthalpy at 0 K   0.277 eV/atom

=====

Please write out number 2 again, unchanged.
# Fe3RuRh12 (PBE, relaxed)
data_Fe3RuRh12
_chemical_formula_sum 'Fe3 Ru1 Rh12'
_space_group_name_H-M_alt 'P 1'
_space_group_IT_number 1
_cell_length_a 3.818
_cell_length_b 3.818
_cell_length_c 15.240
_cell_angle_alpha 90.00
_cell_angle_beta 90.00
_cell_angle_gamma 90.00
loop_
_space_group_symop_operation_xyz
'x,y,z'
loop_
_atom_site_label
_atom_site_fract_x
_atom_site_fract_y
_atom_site_fract_z
_atom_site_occupancy
Fe1 0.000 0.000 0.000 1
Fe2 0.000 0.000 0.247 1
Fe3 0.000 0.000 0.753 1
Ru1 0.000 0.000 0.500 1
Rh1 0.000 0.500 0.125 1
Rh2 0.000 0.500 0.375 1
Rh3 0.000 0.500 0.625 1
Rh4 0.000 0.500 0.875 1
Rh5 0.500 0.000 0.125 1
Rh6 0.500 0.000 0.375 1
Rh7 0.500 0.000 0.625 1
Rh8 0.500 0.000 0.875 1
Rh9 0.500 0.500 0.000 1
Rh10 0.500 0.500 0.250 1
Rh11 0.500 0.500 0.500 1
Rh12 0.500 0.500 0.750 1
# D(E_F)   19.1 states/eV per cell
# Formation enthalpy at 0 K   -0.030 eV/atom

=====

Question: What is the D(E_F) in the fourth record?
Answer: 18.8 states/eV per cell

=====

Copy entry 4 word for word.
# FeRu2Rh4 (PBE, relaxed)
data_FeRu2Rh4
_chemical_formula_sum 'Fe2 Ru4 Rh8'
_space_group_name_H-M_alt 'P 1'
_space_group_IT_number 1
_cell_length_a 6.417
_cell_length_b 6.417
_cell_length_c 11.867
_cell_angle_alpha 90.00
_cell_angle_beta 90.00
_cell_angle_gamma 155.74
loop_
_space_group_symop_operation_xyz
'x,y,z'
loop_
_atom_site_label
_atom_site_fract_x
_atom_site_fract_y
_atom_site_fract_z
_atom_site_occupancy
Fe1 0.199 0.801 0.750 1
Fe2 0.801 0.199 0.250 1
Ru1 0.365 0.635 0.643 1
Ru2 0.365 0.635 0.857 1
Ru3 0.635 0.365 0.143 1
Ru4 0.635 0.365 0.357 1
Rh1 0.000 0.000 0.000 1
Rh2 0.000 0.000 0.500 1
Rh3 0.314 0.686 0.074 1
Rh4 0.314 0.686 0.426 1
Rh5 0.463 0.537 0.250 1
Rh6 0.537 0.463 0.750 1
Rh7 0.686 0.314 0.574 1
Rh8 0.686 0.314 0.926 1
# Distance to the lowest polymorph of the same formula   0 meV/atom
# D(E_F)   18.8 states/eV per cell
# Formation enthalpy at 0 K   0.277 eV/atom

=====

Question: The lowest D(E_F) belongs to which entry?
Answer: FeRuRh6